Compound: Nd6As2P3Cl
Source: Alexandria via LeMat-Bulk
Functional: GGA-PBE
Structure: optimized geometry

* DFT total energy: -150.15 eV per cell
* DOS at the Fermi energy: 4.0 states/eV/f.u.

a = 18.347 Å, b = 4.188 Å, c = 8.450 Å
α = 90.00°, β = 103.74°, γ = 90.00°
Space group C2/m (No. 12)
Inequivalent atoms, fractional coordinates:
Nd1 0.002 0.000 0.230 x4
Nd2 0.166 0.500 0.086 x4
Nd3 0.173 0.500 0.582 x4
As1 0.165 0.000 0.828 x4
P1 0.000 0.500 0.000 x2
P2 0.165 0.000 0.334 x4
Cl1 0.000 0.500 0.500 x2